Record 1
DFT (PBEsol) results for SrCr2Ru after structural relaxation.

Results
V: 61.0 Å³ per cell
total DFT energy (no corrections): -0.5117 Ry per atom
symmetry: Fm-3m, No. 225
energy of formation from the pure elements: 4.7 eV per formula unit
magnetic moment: 1.153 Bohr magnetons per cell

Lattice parameters (Å, degrees): 4.4192 4.4192 4.4192 60.00 60.00 60.00
Last column: nearest neighbours and their distance in Å.
Sites, in units of the cell vectors:
Sr 0.0000 0.0000 0.0000  8 Cr 2.71
Cr 0.7500 0.7500 0.7500  4 Ru 2.71, 4 Sr 2.71
Cr 0.2500 0.2500 0.2500  4 Ru 2.71, 4 Sr 2.71
Ru 0.5000 0.5000 0.5000  8 Cr 2.71


Record 2
DFT (PBEsol) results for SrCr2Ru after structural relaxation.

Results
V: 74.2 Å³ per cell
total DFT energy (no corrections): -0.5432 Ry per atom
symmetry: P4/mmm, No. 123
energy of formation from the pure elements: 2.9 eV per formula unit
magnetic moment: 0.005 Bohr magnetons per cell

Lattice parameters (Å, degrees): 3.2630 3.2630 6.9673 90.00 90.00 90.00
Last column: nearest neighbours and their distance in Å.
Sites, in units of the cell vectors:
Ru 0.5000 0.5000 0.0000  8 Cr 2.51
Cr 0.0000 0.0000 0.8577  1 Cr 1.98
Cr 0.0000 0.0000 0.1423  1 Cr 1.98
Sr 0.5000 0.5000 0.5000  4 Sr 3.26, 8 Cr 3.40, 2 Ru 3.48


Record 3
DFT (PBEsol) results for TaCrRu2 after structural relaxation.

Results
V: 56.4 Å³ per cell
total DFT energy (no corrections): -0.7869 Ry per atom
symmetry: Cm, No. 8
energy of formation from the pure elements: 0.3 eV per formula unit
magnetic moment: 0.913 Bohr magnetons per cell

Lattice parameters (Å, degrees): 2.7945 4.5392 4.7538 101.21 107.09 90.00
Last column: nearest neighbours and their distance in Å.
Sites, in units of the cell vectors:
Ru 0.9976 0.9897 0.9953  3 Cr 2.57-2.77, 4 Ta 2.65-2.68, 5 Ru 2.66-2.79
Ta 0.4997 0.4953 0.9994  7 Ru 2.65-2.79, 3 Cr 2.73-2.84, 2 Ta 2.79
Cr 0.2625 0.7786 0.5249  7 Ru 2.55-2.80, 3 Ta 2.73-2.84, 2 Cr 2.79
Ru 0.7402 0.2363 0.4804  4 Cr 2.55-2.80, 5 Ru 2.66-2.79, 3 Ta 2.68-2.79


Record 4
DFT (PBEsol) results for TaCrRu2 after structural relaxation.

Results
V: 55.7 Å³ per cell
total DFT energy (no corrections): -0.7886 Ry per atom
symmetry: Immm, No. 71
energy of formation from the pure elements: 0.2 eV per formula unit
magnetic moment: 0.000 Bohr magnetons per cell

Lattice parameters (Å, degrees): 2.9422 4.4035 5.0504 115.85 106.93 90.00
Last column: nearest neighbours and their distance in Å.
Sites, in units of the cell vectors:
Ta 0.5000 0.0000 0.0000  4 Cr 2.65, 8 Ru 2.78-2.93, 2 Ta 2.94
Cr 0.0000 0.5000 0.0000  4 Ru 2.43, 4 Ta 2.65
Ru 0.7254 0.7254 0.4509  2 Cr 2.43, 4 Ru 2.68
Ru 0.2746 0.2746 0.5491  2 Cr 2.43, 4 Ru 2.68


Record 5
DFT (PBEsol) results for TaCrRu2 after structural relaxation.

Results
V: 57.1 Å³ per cell
total DFT energy (no corrections): -0.7982 Ry per atom
symmetry: P4/mmm, No. 123
energy of formation from the pure elements: -0.3 eV per formula unit
magnetic moment: 2.875 Bohr magnetons per cell

Lattice parameters (Å, degrees): 3.1028 4.2894 4.2894 90.00 90.00 90.00
Last column: nearest neighbours and their distance in Å.
Sites, in units of the cell vectors:
Ru 0.0000 0.5000 0.0000  4 Ta 2.65, 4 Cr 2.65
Ta 0.5000 0.5000 0.5000  8 Ru 2.65
Cr 0.5000 0.0000 0.0000  8 Ru 2.65
Ru 0.0000 0.0000 0.5000  4 Ta 2.65, 4 Cr 2.65


Record 6
DFT (PBEsol) results for TaCrRu2 after structural relaxation.

Results
V: 56.2 Å³ per cell
total DFT energy (no corrections): -0.7742 Ry per atom
symmetry: R3m, No. 160
energy of formation from the pure elements: 1.0 eV per formula unit
magnetic moment: 0.000 Bohr magnetons per cell

Lattice parameters (Å, degrees): 2.7203 2.7203 8.9153 81.22 81.22 60.00
Last column: nearest neighbours and their distance in Å.
Sites, in units of the cell vectors:
Cr 0.2556 0.2556 0.2332  3 Ru 2.50, 6 Cr 2.72
Ru 0.9962 0.9962 0.0115  3 Cr 2.50, 9 Ru 2.72
Ta 0.5009 0.5009 0.4974  6 Ta 2.72, 3 Ru 2.77, 3 Cr 2.80
Ru 0.7474 0.7474 0.7579  9 Ru 2.72, 3 Ta 2.77